Below is crystalline K3SnPb2 at its relaxed geometry, with properties calculated at the PBE level.

abc: 9.526 9.526 13.897
angles: 110.01 110.01 28.19
Element x y z (fractional)
K1 0.047 0.047 0.240
K2 0.230 0.230 0.616
K3 0.354 0.354 0.993
K4 0.646 0.646 0.007
K5 0.770 0.770 0.384
K6 0.953 0.953 0.760
Sn1 0.414 0.414 0.325
Sn2 0.586 0.586 0.675
Pb1 0.155 0.155 0.813
Pb2 0.415 0.415 0.547
Pb3 0.585 0.585 0.453
Pb4 0.845 0.845 0.187

As for the crystal system: monoclinic. Its calculated formation energy is -0.0690 eV/atom.